DFT (GGA-PBE) results for crystalline Be16Nb2Zn at its relaxed geometry.

Results
- Magnetization: 0.0 μB/f.u.
- VASP energy: -84.594 eV for the cell shown
- Formation enthalpy at 0 K: -0.187 eV/atom
- Symmetry: No. 160

Cell: 5.631 5.631 5.631 Å, 83.05 83.05 83.05°
Atoms (fractional coordinates):
Be 0.049 0.049 0.049
Be 0.152 0.152 0.663
Be 0.152 0.663 0.152
Be 0.155 0.455 0.855
Be 0.155 0.855 0.455
Be 0.317 0.809 0.809
Be 0.455 0.155 0.855
Be 0.455 0.855 0.155
Be 0.506 0.506 0.989
Be 0.506 0.989 0.506
Be 0.663 0.152 0.152
Be 0.809 0.317 0.809
Be 0.809 0.809 0.317
Be 0.855 0.155 0.455
Be 0.855 0.455 0.155
Be 0.989 0.506 0.506
Nb 0.501 0.501 0.501
Nb 0.815 0.815 0.815
Zn 0.252 0.252 0.252